Entry 1:
DFT (PBE) results for a geometry-optimized BaTa3Sn structure.

Summary:
The space-group type is Pm-3m. The calculation puts the energy above the most stable polymorph in this dataset at 1061 meV per atom. The calculation puts the density of states at the Fermi level at 8.88 states/eV/cell. The size of the total moment is 0.00 μB/atom. As for the formation energy: 2.801 eV/atom. For the volume, the calculation gives 134 Å³ per cell. The calculation puts the energy at -5.4953 eV/atom.

Cell: 5.119 5.119 5.119 Å, 90.00 90.00 90.00°
Positions (direct):
Ta1 0.500 0.000 0.000
Ta2 0.000 0.000 0.500
Sn1 0.500 0.500 0.500
Ba1 0.000 0.000 0.000
Ta3 0.000 0.500 0.000

Entry 2:
DFT (PBE) results for a geometry-optimized Ba3TaSn structure.

Summary:
The space-group type is Pm-3m. The calculation puts the energy above the most stable polymorph in this dataset at 0 meV per atom. The calculation puts the density of states at the Fermi level at 6.37 states/eV/cell. The size of the total moment is 0.00 μB/atom. As for the formation energy: 0.773 eV/atom. For the volume, the calculation gives 221 Å³ per cell. The calculation puts the energy at -3.5517 eV/atom.

Cell: 6.047 6.047 6.047 Å, 90.00 90.00 90.00°
Positions (direct):
Ba1 0.500 0.000 0.000
Ba2 0.000 0.500 0.000
Sn1 0.500 0.500 0.500
Ba3 0.000 0.000 0.500
Ta1 0.000 0.000 0.000

Entry 3:
DFT (PBE) results for a geometry-optimized BaTa3Sn structure.

Summary:
The space-group type is Pm-3m. The calculation puts the energy above the most stable polymorph in this dataset at 0 meV per atom. The calculation puts the density of states at the Fermi level at 6.71 states/eV/cell. The size of the total moment is 0.18 μB/atom. As for the formation energy: 1.740 eV/atom. For the volume, the calculation gives 144 Å³ per cell. The calculation puts the energy at -6.5566 eV/atom.

Cell: 5.244 5.244 5.244 Å, 90.00 90.00 90.00°
Positions (direct):
Ba1 0.500 0.500 0.500
Ta1 0.000 0.500 0.000
Ta2 0.500 0.000 0.000
Sn1 0.000 0.000 0.000
Ta3 0.000 0.000 0.500

Entry 4:
DFT (PBE) results for a geometry-optimized Ba2TaSn structure.

Summary:
The space-group type is I-42d. The calculation puts the density of states at the Fermi level at 6.31 states/eV/cell. The size of the total moment is 0.37 μB/atom. As for the formation energy: 0.826 eV/atom. For the volume, the calculation gives 277 Å³ per cell. The calculation puts the energy at -4.0995 eV/atom.

Cell: 9.369 9.369 7.337 Å, 50.33 50.33 90.00°
Positions (direct):
Sn1 0.250 0.750 0.500
Sn2 0.500 0.500 0.000
Ba1 0.642 0.125 0.250
Ba2 0.375 0.358 0.750
Ta1 0.750 0.250 0.500
Ba3 0.108 0.625 0.250
Ba4 0.875 0.892 0.750
Ta2 0.000 0.000 0.000

Entry 5:
DFT (PBE) results for a geometry-optimized BaTa2Sn2 structure.

Summary:
The space-group type is P4/mbm. The calculation puts the energy above the most stable polymorph in this dataset at 202 meV per atom. The calculation puts the density of states at the Fermi level at 7.80 states/eV/cell. The size of the total moment is 0.00 μB/atom. As for the formation energy: 0.195 eV/atom. For the volume, the calculation gives 245 Å³ per cell. The calculation puts the energy at -6.5316 eV/atom.

Cell: 8.961 8.961 3.047 Å, 90.00 90.00 90.00°
Positions (direct):
Sn1 0.174 0.326 0.000
Sn2 0.674 0.174 0.000
Ta1 0.610 0.890 0.500
Ba1 0.000 0.000 0.000
Ta2 0.890 0.390 0.500
Sn3 0.826 0.674 0.000
Ta3 0.390 0.110 0.500
Ba2 0.500 0.500 0.000
Sn4 0.326 0.826 0.000
Ta4 0.110 0.610 0.500

Entry 6:
DFT (PBE) results for a geometry-optimized Ba2Ta4Sn structure.

Summary:
The space-group type is I4/mmm. The calculation puts the density of states at the Fermi level at 10.97 states/eV/cell. The size of the total moment is 0.00 μB/atom. As for the formation energy: 1.944 eV/atom. For the volume, the calculation gives 239 Å³ per cell. The calculation puts the energy at -5.9506 eV/atom.

Cell: 5.138 5.138 9.762 Å, 74.74 74.74 90.00°
Positions (direct):
Ta1 0.000 0.500 0.000
Ta2 0.141 0.141 0.719
Ta3 0.859 0.859 0.281
Sn1 0.000 0.000 0.000
Ba1 0.650 0.650 0.701
Ta4 0.500 0.000 0.000
Ba2 0.350 0.350 0.299

Entry 7:
DFT (PBE) results for a geometry-optimized BaTbSn2 structure.

Summary:
The space-group type is R-3m. The calculation puts the energy above the most stable polymorph in this dataset at 157 meV per atom. The calculation puts the density of states at the Fermi level at 4.59 states/eV/cell. The size of the total moment is 0.00 μB/atom. As for the formation energy: -0.472 eV/atom. For the volume, the calculation gives 145 Å³ per cell. The calculation puts the energy at -4.1112 eV/atom.

Cell: 5.096 5.096 7.070 Å, 68.88 68.88 60.00°
Positions (direct):
Tb1 0.000 0.000 0.000
Ba1 0.500 0.500 0.500
Sn1 0.275 0.275 0.175
Sn2 0.725 0.725 0.825

Entry 8:
DFT (PBE) results for a geometry-optimized BaTbSn3 structure.

Summary:
The space-group type is Cmcm. The calculation puts the density of states at the Fermi level at 4.75 states/eV/cell. The size of the total moment is 0.00 μB/atom. As for the formation energy: -0.575 eV/atom. For the volume, the calculation gives 329 Å³ per cell. The calculation puts the energy at -4.2870 eV/atom.

Cell: 4.531 4.748 15.466 Å, 98.83 90.00 90.00°
Positions (direct):
Sn1 0.750 0.631 0.263
Sn2 0.750 0.528 0.057
Sn3 0.250 0.472 0.943
Tb1 0.250 0.796 0.592
Ba1 0.750 0.920 0.840
Ba2 0.250 0.080 0.160
Tb2 0.750 0.204 0.408
Sn4 0.250 0.695 0.390
Sn5 0.750 0.305 0.610
Sn6 0.250 0.369 0.737